1.
Material: PrErGa2Au2
Method: DFT, GGA-PBE
State: relaxed

Properties
The volume comes out at 132.1 Å³/cell. Its crystal system is trigonal. As for the space group: P-3m1. The calculation puts the total energy at -4.44 eV per atom.

a = 4.558 Å, b = 4.558 Å, c = 7.339 Å
α = 90.00°, β = 90.00°, γ = 120.00°
Fractional coordinates of all 6 atoms:
Ga  0.333  0.667  0.728
Ga  0.667  0.333  0.272
Er  0.000  0.000  0.500
Au  0.333  0.667  0.279
Pr  0.000  0.000  0.000
Au  0.667  0.333  0.721



2.
Material: TaCrReOs
Method: DFT, GGA-PBE
State: relaxed

Properties
The volume comes out at 60.4 Å³/cell. Its crystal system is cubic. As for the space group: F-43m. The calculation puts the total energy at -11.33 eV per atom.

a = 4.403 Å, b = 4.403 Å, c = 4.403 Å
α = 60.00°, β = 60.00°, γ = 60.00°
Last column: magnetic moment on the atom in μB.
Fractional coordinates of all 4 atoms:
Re  0.250  0.250  0.250  -0.27
Os  0.750  0.750  0.750  0.05
Cr  0.500  0.500  0.500  1.88
Ta  0.000  0.000  0.000  0.05



3.
Material: Cu5Bi3Br12
Method: DFT, GGA-PBE
State: relaxed

Properties
The volume comes out at 2235.8 Å³/cell. Its crystal system is cubic. Its raw formation energy is -313 meV/atom. As for the space group: Ia-3d. The calculation puts the total energy at -2.92 eV per atom.

a = 14.268 Å, b = 14.268 Å, c = 14.268 Å
α = 109.47°, β = 109.47°, γ = 109.47°
Fractional coordinates of all 80 atoms:
Br  0.870  0.298  0.473
Br  0.396  0.370  0.572
Cu  0.500  0.000  0.000
Br  0.176  0.104  0.973
Cu  0.875  0.625  0.750
Bi  0.750  0.875  0.625
Bi  0.250  0.625  0.875
Br  0.798  0.324  0.928
Cu  0.375  0.250  0.125
Br  0.202  0.527  0.630
Br  0.896  0.072  0.870
Cu  0.625  0.875  0.250
Br  0.396  0.027  0.324
Br  0.604  0.630  0.428
Br  0.702  0.572  0.176
Br  0.630  0.604  0.928
Cu  0.500  0.500  0.500
Bi  0.125  0.250  0.875
Br  0.370  0.396  0.072
Br  0.027  0.396  0.824
Br  0.928  0.104  0.630
Br  0.104  0.176  0.473
Cu  0.875  0.250  0.625
Bi  0.875  0.125  0.250
Br  0.572  0.702  0.676
Cu  0.500  0.500  0.000
Cu  0.000  0.000  0.500
Br  0.130  0.428  0.104
Br  0.298  0.428  0.824
Bi  0.250  0.125  0.375
Br  0.676  0.473  0.604
Br  0.630  0.027  0.202
Br  0.072  0.896  0.370
Cu  0.000  0.500  0.500
Cu  0.125  0.750  0.375
Br  0.928  0.824  0.798
Bi  0.625  0.375  0.750
Br  0.027  0.630  0.702
Br  0.324  0.527  0.396
Br  0.527  0.202  0.130
Cu  0.000  0.000  0.000
Br  0.824  0.928  0.298
Cu  0.250  0.375  0.625
Br  0.870  0.572  0.896
Bi  0.375  0.625  0.250
Cu  0.250  0.875  0.125
Bi  0.875  0.750  0.125
Br  0.604  0.973  0.676
Br  0.572  0.870  0.396
Cu  0.750  0.125  0.875
Bi  0.125  0.875  0.750
Br  0.473  0.676  0.104
Br  0.324  0.798  0.428
Br  0.676  0.202  0.572
Cu  0.625  0.750  0.875
Cu  0.000  0.500  0.000
Br  0.370  0.973  0.798
Cu  0.375  0.125  0.750
Bi  0.750  0.375  0.125
Br  0.824  0.896  0.027
Bi  0.375  0.750  0.625
Bi  0.625  0.250  0.375
Cu  0.500  0.000  0.500
Br  0.072  0.176  0.202
Br  0.473  0.798  0.870
Br  0.202  0.676  0.072
Br  0.798  0.473  0.370
Br  0.298  0.870  0.973
Br  0.973  0.370  0.298
Br  0.896  0.824  0.527
Br  0.527  0.324  0.896
Cu  0.750  0.625  0.375
Br  0.428  0.298  0.324
Br  0.104  0.928  0.130
Br  0.973  0.604  0.176
Br  0.130  0.702  0.527
Br  0.428  0.130  0.604
Cu  0.125  0.375  0.250
Br  0.702  0.130  0.027
Br  0.176  0.072  0.702



Density list, top to bottom, in g cm⁻³: 10.58 16.76 5.66